A plane-wave DFT calculation with GGA-PBE was carried out for an optimized crystal structure of NaHgPO.

extended XYZ file:
```
8
Lattice="4.857 0.000 0.000 0.000 3.404 0.000 0.000 0.000 9.023" Properties=species:S:1:pos:R:3 pbc="T T T"
Na 1.214 0.000 1.071
Na 3.643 0.000 7.952
Hg 1.214 1.702 6.436
Hg 3.643 1.702 2.587
P 1.214 1.702 3.955
P 3.643 1.702 5.068
O 1.214 0.000 7.862
O 3.643 0.000 1.161
```

Summary:
**Excess energy over the best structure of this formula in the dataset**: 0.0519 eV per atom
**Calculated total energy**: -0.119 hartree per atom
**Symmetry**: No. 51
**V**: 149 Å³ per cell